12
Lattice="6.335 0.000 0.000 -3.167 5.486 0.000 0.000 0.000 7.489" Properties=species:S:1:pos:R:3 comment="Rb3NaV2O6 (PBE+U, optimized geometry)" final_energy_ev_per_atom=-5.7783 volume_a3_per_fu=260.3 pbc="T T T"
Rb 0.000 0.000 0.000
Rb 0.000 3.657 5.148
Rb 3.167 1.829 2.341
Na 0.000 0.000 3.745
V 0.000 3.657 1.821
V 3.167 1.829 5.668
O 0.000 1.960 2.135
O -1.470 4.506 2.135
O 1.697 0.980 5.354
O 1.470 4.506 2.135
O 4.637 0.980 5.354
O 3.167 3.526 5.354